An optimized crystal structure of Pr3Y2TmS6, computed with PBE-GGA.

* formation energy (no corrections): -2008 meV/atom
* DOS(E_F): 5.07 states/eV/f.u.

a b c (Å): 6.865 6.865 7.048
angles (deg): 99.34 99.34 120.14
Fractional positions:
Pr 0.169 0.831 0.500
Pr 0.831 0.169 0.500
Pr 0.500 0.500 0.500
Y 0.333 0.667 0.000
Y 0.667 0.333 0.000
Tm 0.000 0.000 0.000
S 0.924 0.595 0.771
S 0.748 0.748 0.231
S 0.076 0.405 0.229
S 0.595 0.924 0.771
S 0.252 0.252 0.769
S 0.405 0.076 0.229